No. 1
# Li2MoCl | Alexandria | PBE-GGA | relaxed
data_Li2MoCl
_space_group_name_H-M_alt 'C 1 m 1'
_space_group_IT_number 8
_space_group_name_Hall 'C -2y'
_cell_length_a 8.953
_cell_length_b 2.886
_cell_length_c 5.155
_cell_angle_alpha 90.00
_cell_angle_beta 114.60
_cell_angle_gamma 90.00
loop_
_atom_site_label
_atom_site_type_symbol
_atom_site_fract_x
_atom_site_fract_y
_atom_site_fract_z
_atom_site_occupancy
Li1 Li 0.000 0.000 0.000 1
Li2 Li 0.211 0.000 0.795 1
Mo1 Mo 0.403 0.000 0.416 1
Cl1 Cl 0.171 0.500 0.403 1
# Formation energy from raw total energies in meV per atom: 104.0
# Distance to the lowest polymorph of the same formula in meV/atom: 344
# N(E_F) in states/eV/cell: 3.9
# Size of the total moment in μB per formula unit: 0.00
# Crystal system: monoclinic
# Volume in A^3/atom: 15.14

---

No. 2
# Li2MoCl | Alexandria | PBE-GGA | relaxed
data_Li2MoCl
_space_group_name_H-M_alt 'P 4/m m m'
_space_group_IT_number 123
_space_group_name_Hall '-P 4 2'
_cell_length_a 4.907
_cell_length_b 4.907
_cell_length_c 3.066
_cell_angle_alpha 90.00
_cell_angle_beta 90.00
_cell_angle_gamma 90.00
loop_
_atom_site_label
_atom_site_type_symbol
_atom_site_fract_x
_atom_site_fract_y
_atom_site_fract_z
_atom_site_occupancy
Li1 Li 0.000 0.500 0.000 1
Mo1 Mo 0.000 0.000 0.500 1
Cl1 Cl 0.500 0.500 0.500 1
# Formation energy from raw total energies in meV per atom: 434.0
# Distance to the lowest polymorph of the same formula in meV/atom: 674
# N(E_F) in states/eV/cell: 2.4
# Size of the total moment in μB per formula unit: 3.87
# Crystal system: tetragonal
# Volume in A^3/atom: 18.46

---

No. 3
# Li2MoCl6 | Alexandria | PBE-GGA | relaxed
data_Li2MoCl6
_space_group_name_H-M_alt 'P n n m'
_space_group_IT_number 58
_space_group_name_Hall '-P 2 2n'
_cell_length_a 6.045
_cell_length_b 6.357
_cell_length_c 10.680
_cell_angle_alpha 90.00
_cell_angle_beta 90.00
_cell_angle_gamma 90.00
loop_
_atom_site_label
_atom_site_type_symbol
_atom_site_fract_x
_atom_site_fract_y
_atom_site_fract_z
_atom_site_occupancy
Li1 Li 0.000 0.000 0.172 1
Mo1 Mo 0.000 0.500 0.000 1
Cl1 Cl 0.224 0.186 0.000 1
Cl2 Cl 0.225 0.659 0.158 1
# Formation energy from raw total energies in meV per atom: -1259.4
# N(E_F) in states/eV/cell: 13.0
# Size of the total moment in μB per formula unit: 2.00
# Crystal system: orthorhombic
# Volume in A^3/atom: 22.80

---

No. 4
# LiMoCl2 | Alexandria | PBE-GGA | relaxed
data_LiMoCl2
_space_group_name_H-M_alt 'F -4 3 m'
_space_group_IT_number 216
_space_group_name_Hall 'F -4 2 3'
_cell_length_a 6.910
_cell_length_b 6.910
_cell_length_c 6.910
_cell_angle_alpha 90.00
_cell_angle_beta 90.00
_cell_angle_gamma 90.00
loop_
_atom_site_label
_atom_site_type_symbol
_atom_site_fract_x
_atom_site_fract_y
_atom_site_fract_z
_atom_site_occupancy
Li1 Li 0.000 0.000 0.000 1
Mo1 Mo 0.250 0.250 0.250 1
Cl1 Cl 0.000 0.000 0.500 1
Cl2 Cl 0.250 0.250 0.750 1
# Formation energy from raw total energies in meV per atom: 338.6
# Distance to the lowest polymorph of the same formula in meV/atom: 881
# N(E_F) in states/eV/cell: 10.5
# Size of the total moment in μB per formula unit: 5.00
# Crystal system: cubic
# Volume in A^3/atom: 20.62

---

No. 5
# LiMoCl2 | Alexandria | PBE-GGA | relaxed
data_LiMoCl2
_space_group_name_H-M_alt 'C 1 m 1'
_space_group_IT_number 8
_space_group_name_Hall 'C -2y'
_cell_length_a 13.264
_cell_length_b 3.757
_cell_length_c 3.686
_cell_angle_alpha 90.00
_cell_angle_beta 105.37
_cell_angle_gamma 90.00
loop_
_atom_site_label
_atom_site_type_symbol
_atom_site_fract_x
_atom_site_fract_y
_atom_site_fract_z
_atom_site_occupancy
Li1 Li 0.000 0.000 0.000 1
Mo1 Mo 0.227 0.500 0.723 1
Cl1 Cl 0.008 0.500 0.509 1
Cl2 Cl 0.222 0.000 0.218 1
# Formation energy from raw total energies in meV per atom: -226.9
# Distance to the lowest polymorph of the same formula in meV/atom: 316
# N(E_F) in states/eV/cell: 1.9
# Size of the total moment in μB per formula unit: 4.48
# Crystal system: monoclinic
# Volume in A^3/atom: 22.14

---

No. 6
# NaLi2MoCl6 | Alexandria | PBE-GGA | relaxed
data_NaLi2MoCl6
_space_group_name_H-M_alt 'R 3'
_space_group_IT_number 146
_space_group_name_Hall 'R 3'
_cell_length_a 6.5101
_cell_length_b 6.5101
_cell_length_c 18.0246
_cell_angle_alpha 90.00
_cell_angle_beta 90.00
_cell_angle_gamma 120.00
loop_
_atom_site_label
_atom_site_type_symbol
_atom_site_fract_x
_atom_site_fract_y
_atom_site_fract_z
_atom_site_occupancy
Na1 Na 0.0000 0.0000 0.0000 1
Li1 Li 0.0000 0.0000 0.2944 1
Li2 Li 0.0000 0.0000 0.8074 1
Mo1 Mo 0.0000 0.0000 0.4874 1
Cl1 Cl 0.0073 0.3248 0.5616 1
Cl2 Cl 0.0221 0.6389 0.0703 1
# Formation energy from raw total energies in meV per atom: -1403.2
# N(E_F) in states/eV/cell: 0.0
# Size of the total moment in μB per formula unit: 3.00
# Crystal system: trigonal
# Volume in A^3/atom: 22.05

---

- The lowest volume belongs to which entry?
  number 1

---

- Among the records above, which one has the lowest formation energy from raw total energies?
  NaLi2MoCl6